Record 1
# Se4IF | Alexandria via LeMat-Bulk | GGA-PBE | relaxed
data_Se4IF
_chemical_formula_sum 'Se16 I4 F4'
_space_group_name_H-M_alt 'C 1 2/c 1'
_space_group_IT_number 15
_space_group_name_Hall '-C 2yc'
_cell_length_a 8.3131
_cell_length_b 11.4777
_cell_length_c 8.8236
_cell_angle_alpha 90.00
_cell_angle_beta 107.45
_cell_angle_gamma 90.00
loop_
_atom_site_label
_atom_site_fract_x
_atom_site_fract_y
_atom_site_fract_z
_atom_site_occupancy
Se1 0.1482 0.1365 0.2862 1
Se2 0.1475 0.3458 0.2788 1
I1 0.0000 0.3599 0.7500 1
F1 0.0000 0.0405 0.7500 1
# Total energy in eV per atom: -3.089
# ΔE_f (raw) in eV/atom: -0.20
# N(E_F) in states/eV/atom: 0.405

***

Record 2
# K2IrW | Alexandria via LeMat-Bulk | GGA-PBE | relaxed
data_K2IrW
_chemical_formula_sum 'K4 Ir2 W2'
_space_group_name_H-M_alt 'I m m 2'
_space_group_IT_number 44
_space_group_name_Hall 'I 2 -2'
_cell_length_a 3.7996
_cell_length_b 5.9981
_cell_length_c 11.2779
_cell_angle_alpha 90.00
_cell_angle_beta 90.00
_cell_angle_gamma 90.00
loop_
_atom_site_label
_atom_site_fract_x
_atom_site_fract_y
_atom_site_fract_z
_atom_site_occupancy
K1 0.0000 0.0000 0.0000 1
K2 0.0000 0.5000 0.2079 1
Ir1 0.0000 0.0000 0.4317 1
W1 0.0000 0.5000 0.8111 1
# Formation energy in kJ/mol of formula units: 393
# Total energy in eV per atom: -4.984
# N(E_F) in states/eV/atom: 1.232

***

Record 3
# K2PuMg2O6 | Alexandria via LeMat-Bulk | GGA-PBE | relaxed
data_K2PuMg2O6
_chemical_formula_sum 'K4 Pu2 Mg4 O12'
_space_group_name_H-M_alt 'C 1 2/m 1'
_space_group_IT_number 12
_space_group_name_Hall '-C 2y'
_cell_length_a 5.5479
_cell_length_b 9.5234
_cell_length_c 6.6319
_cell_angle_alpha 90.00
_cell_angle_beta 108.20
_cell_angle_gamma 90.00
loop_
_atom_site_label
_atom_site_fract_x
_atom_site_fract_y
_atom_site_fract_z
_atom_site_occupancy
K1 0.0000 0.1741 0.0000 1
Pu1 0.0000 0.0000 0.5000 1
Mg1 0.0000 0.3349 0.5000 1
O1 0.2213 0.1637 0.6717 1
O2 0.2420 0.5000 0.6703 1
# Total energy in eV per atom: -6.856
# ΔE_f (raw) in eV/atom: -2.36
# N(E_F) in states/eV/atom: 0.673

***

Record 4
# PrNdEuHo | Alexandria via LeMat-Bulk | GGA-PBE | relaxed
data_PrNdEuHo
_chemical_formula_sum 'Pr4 Nd4 Eu4 Ho4'
_space_group_name_H-M_alt 'F -4 3 m'
_space_group_IT_number 216
_space_group_name_Hall 'F -4 2 3'
_cell_length_a 8.2856
_cell_length_b 8.2856
_cell_length_c 8.2856
_cell_angle_alpha 90.00
_cell_angle_beta 90.00
_cell_angle_gamma 90.00
loop_
_atom_site_label
_atom_site_fract_x
_atom_site_fract_y
_atom_site_fract_z
_atom_site_occupancy
Pr1 0.0000 0.0000 0.0000 1
Nd1 0.0000 0.0000 0.5000 1
Eu1 0.2500 0.2500 0.2500 1
Ho1 0.2500 0.2500 0.7500 1
# Formation energy in kJ/mol of formula units: 50
# Total energy in eV per atom: -5.971
# N(E_F) in states/eV/atom: 1.590

***

Record 5
# Y6CoAu2 | Alexandria via LeMat-Bulk | GGA-PBE | relaxed
data_Y6CoAu2
_chemical_formula_sum 'Y12 Co2 Au4'
_space_group_name_H-M_alt 'P 1 21/c 1'
_space_group_IT_number 14
_space_group_name_Hall '-P 2ybc'
_cell_length_a 6.7005
_cell_length_b 7.3518
_cell_length_c 11.7925
_cell_angle_alpha 90.00
_cell_angle_beta 122.74
_cell_angle_gamma 90.00
loop_
_atom_site_label
_atom_site_fract_x
_atom_site_fract_y
_atom_site_fract_z
_atom_site_occupancy
Y1 0.1202 0.0226 0.2498 1
Y2 0.2292 0.6810 0.0611 1
Y3 0.3785 0.1881 0.0572 1
Co1 0.5000 0.0000 0.5000 1
Au1 0.3042 0.1088 0.7544 1
# Formation energy in kJ/mol of formula units: -377
# Total energy in eV per atom: -6.261
# N(E_F) in states/eV/atom: 1.152

***

Record 6
# NaScSn2 | Alexandria via LeMat-Bulk | GGA-PBE | relaxed
data_NaScSn2
_chemical_formula_sum 'Na4 Sc4 Sn8'
_space_group_name_H-M_alt 'I -4 2 d'
_space_group_IT_number 122
_space_group_name_Hall 'I -4 2bw'
_cell_length_a 8.0800
_cell_length_b 8.0800
_cell_length_c 6.4719
_cell_angle_alpha 90.00
_cell_angle_beta 90.00
_cell_angle_gamma 90.00
loop_
_atom_site_label
_atom_site_fract_x
_atom_site_fract_y
_atom_site_fract_z
_atom_site_occupancy
Na1 0.0000 0.0000 0.0000 1
Sc1 0.0000 0.0000 0.5000 1
Sn1 0.2478 0.7500 0.6250 1
# Formation energy in kJ/mol of formula units: -1
# Total energy in eV per atom: -3.917
# N(E_F) in states/eV/atom: 0.796

***

Record 7
# Ce8Si2Pt | Alexandria via LeMat-Bulk | GGA-PBE | relaxed
data_Ce8Si2Pt
_chemical_formula_sum 'Ce16 Si4 Pt2'
_space_group_name_H-M_alt 'C 1 2/m 1'
_space_group_IT_number 12
_space_group_name_Hall '-C 2y'
_cell_length_a 16.6355
_cell_length_b 4.6907
_cell_length_c 7.4015
_cell_angle_alpha 90.00
_cell_angle_beta 110.91
_cell_angle_gamma 90.00
loop_
_atom_site_label
_atom_site_fract_x
_atom_site_fract_y
_atom_site_fract_z
_atom_site_occupancy
Ce1 0.0126 0.0000 0.2630 1
Ce2 0.0807 0.5000 0.9345 1
Ce3 0.1744 0.5000 0.4230 1
Ce4 0.2092 0.0000 0.7850 1
Si1 0.1737 0.0000 0.1606 1
Pt1 0.0000 0.5000 0.5000 1
# Total energy in eV per atom: -6.254
# ΔE_f (raw) in eV/atom: -0.40
# N(E_F) in states/eV/atom: 2.657

***

Record 8
# Ca2Ni6AsP | Alexandria via LeMat-Bulk | GGA-PBE | relaxed
data_Ca2Ni6AsP
_chemical_formula_sum 'Ca4 Ni12 As2 P2'
_space_group_name_H-M_alt 'P m m n'
_space_group_IT_number 59
_cell_length_a 5.7660
_cell_length_b 8.2957
_cell_length_c 6.6426
_cell_angle_alpha 90.00
_cell_angle_beta 90.00
_cell_angle_gamma 90.00
loop_
_space_group_symop_operation_xyz
'x,y,z'
'-x,-y,-z'
'-x+1/2,-y+1/2,z'
'x+1/2,y+1/2,-z'
'x+1/2,-y,-z'
'-x+1/2,y,z'
'-x,y+1/2,-z'
'x,-y+1/2,z'
loop_
_atom_site_label
_atom_site_fract_x
_atom_site_fract_y
_atom_site_fract_z
_atom_site_occupancy
Ca1 0.2500 0.0396 0.2076 1
Ni1 0.0366 0.7500 0.4695 1
Ni2 0.0426 0.7500 0.0730 1
Ni3 0.2500 0.0037 0.6232 1
As1 0.2500 0.7500 0.7763 1
P1 0.2500 0.2500 0.7379 1
# Formation energy in kJ/mol of formula units: -375
# Total energy in eV per atom: -5.264
# N(E_F) in states/eV/atom: 0.443

***

Record 9
# TmTl3As2O6 | Alexandria via LeMat-Bulk | GGA-PBE | relaxed
data_TmTl3As2O6
_chemical_formula_sum 'Tm1 Tl3 As2 O6'
_space_group_name_H-M_alt 'P -3 m 1'
_space_group_IT_number 164
_space_group_name_Hall '-P 3 2"'
_cell_length_a 5.9698
_cell_length_b 5.9698
_cell_length_c 7.3507
_cell_angle_alpha 90.00
_cell_angle_beta 90.00
_cell_angle_gamma 120.00
loop_
_atom_site_label
_atom_site_fract_x
_atom_site_fract_y
_atom_site_fract_z
_atom_site_occupancy
Tm1 0.0000 0.0000 0.0000 1
Tl1 0.0000 0.0000 0.5000 1
Tl2 0.3333 0.6667 0.1814 1
As1 0.3333 0.6667 0.7155 1
O1 0.1782 0.3564 0.8267 1
# Total energy in eV per atom: -5.793
# ΔE_f (raw) in eV/atom: -1.57
# N(E_F) in states/eV/atom: 0.000

***

Record 10
# As2IrPt | Alexandria via LeMat-Bulk | GGA-PBE | relaxed
data_As2IrPt
_chemical_formula_sum 'As4 Ir2 Pt2'
_space_group_name_H-M_alt 'C m m 2'
_space_group_IT_number 35
_space_group_name_Hall 'C 2 -2'
_cell_length_a 2.8592
_cell_length_b 4.9846
_cell_length_c 10.0246
_cell_angle_alpha 90.00
_cell_angle_beta 90.00
_cell_angle_gamma 90.00
loop_
_atom_site_label
_atom_site_fract_x
_atom_site_fract_y
_atom_site_fract_z
_atom_site_occupancy
As1 0.0000 0.0000 0.0000 1
As2 0.0000 0.5000 0.3396 1
Ir1 0.0000 0.0000 0.5445 1
Pt1 0.0000 0.5000 0.7856 1
# Formation energy in kJ/mol of formula units: 70
# Total energy in eV per atom: -5.869
# N(E_F) in states/eV/atom: 0.738

***

Record 11
# KMo2Ru | Alexandria via LeMat-Bulk | GGA-PBE | relaxed
data_KMo2Ru
_chemical_formula_sum 'K3 Mo6 Ru3'
_space_group_name_H-M_alt 'R -3 m'
_space_group_IT_number 166
_space_group_name_Hall '-R 3 2"'
_cell_length_a 2.8240
_cell_length_b 2.8240
_cell_length_c 32.1620
_cell_angle_alpha 90.00
_cell_angle_beta 90.00
_cell_angle_gamma 120.00
loop_
_atom_site_label
_atom_site_fract_x
_atom_site_fract_y
_atom_site_fract_z
_atom_site_occupancy
K1 0.0000 0.0000 0.0000 1
Mo1 0.0000 0.0000 0.2346 1
Ru1 0.0000 0.0000 0.5000 1
# Formation energy in kJ/mol of formula units: 321
# Total energy in eV per atom: -7.178
# N(E_F) in states/eV/atom: 1.500

***

Record 12
# BaCrIn2Cl6 | Alexandria via LeMat-Bulk | GGA-PBE | relaxed
data_BaCrIn2Cl6
_chemical_formula_sum 'Ba1 Cr1 In2 Cl6'
_space_group_name_H-M_alt 'P -1'
_space_group_IT_number 2
_space_group_name_Hall '-P 1'
_cell_length_a 7.2482
_cell_length_b 7.6576
_cell_length_c 7.6583
_cell_angle_alpha 119.25
_cell_angle_beta 114.33
_cell_angle_gamma 90.31
loop_
_atom_site_label
_atom_site_fract_x
_atom_site_fract_y
_atom_site_fract_z
_atom_site_occupancy
Ba1 0.0000 0.0000 0.0000 1
Cr1 0.5000 0.5000 0.0000 1
In1 0.2937 0.7310 0.4393 1
Cl1 0.1974 0.6326 0.9598 1
Cl2 0.2805 0.1601 0.5046 1
Cl3 0.3791 0.2920 0.1034 1
# Total energy in eV per atom: -4.135
# ΔE_f (raw) in eV/atom: -1.32

***

Record 13
# Pr2Ho4Sc | Alexandria via LeMat-Bulk | GGA-PBE | relaxed
data_Pr2Ho4Sc
_chemical_formula_sum 'Pr8 Ho16 Sc4'
_space_group_name_H-M_alt 'C m c m'
_space_group_IT_number 63
_space_group_name_Hall '-C 2c 2'
_cell_length_a 6.7063
_cell_length_b 12.0612
_cell_length_c 11.1927
_cell_angle_alpha 90.00
_cell_angle_beta 90.00
_cell_angle_gamma 90.00
loop_
_atom_site_label
_atom_site_fract_x
_atom_site_fract_y
_atom_site_fract_z
_atom_site_occupancy
Pr1 0.0000 0.0358 0.2500 1
Pr2 0.0000 0.3242 0.2500 1
Ho1 0.0000 0.2224 0.5442 1
Ho2 0.2213 0.5000 0.0000 1
Sc1 0.0000 0.3984 0.7500 1
# Formation energy in kJ/mol of formula units: 129
# Total energy in eV per atom: -4.695
# N(E_F) in states/eV/atom: 1.400

***

Record 14
# Al2VSbSe | Alexandria via LeMat-Bulk | GGA-PBE | relaxed
data_Al2VSbSe
_chemical_formula_sum 'Al2 V1 Sb1 Se1'
_space_group_name_H-M_alt 'P 4/m m m'
_space_group_IT_number 123
_space_group_name_Hall '-P 4 2'
_cell_length_a 5.0027
_cell_length_b 5.0027
_cell_length_c 4.7724
_cell_angle_alpha 90.00
_cell_angle_beta 90.00
_cell_angle_gamma 90.00
loop_
_atom_site_label
_atom_site_fract_x
_atom_site_fract_y
_atom_site_fract_z
_atom_site_occupancy
Al1 0.0000 0.5000 0.0000 1
V1 0.0000 0.0000 0.5000 1
Sb1 0.5000 0.5000 0.5000 1
Se1 0.0000 0.0000 0.0000 1
# Total energy in eV per atom: -4.310
# ΔE_f (raw) in eV/atom: 0.53
# N(E_F) in states/eV/atom: 1.119

***

Record 15
# TiV2Rh4 | Alexandria via LeMat-Bulk | GGA-PBE | relaxed
data_TiV2Rh4
_chemical_formula_sum 'Ti2 V4 Rh8'
_space_group_name_H-M_alt 'P 63/m m c'
_space_group_IT_number 194
_space_group_name_Hall '-P 6c 2c'
_cell_length_a 4.2778
_cell_length_b 4.2778
_cell_length_c 12.8318
_cell_angle_alpha 90.00
_cell_angle_beta 90.00
_cell_angle_gamma 120.00
loop_
_atom_site_label
_atom_site_fract_x
_atom_site_fract_y
_atom_site_fract_z
_atom_site_occupancy
Ti1 0.0000 0.0000 0.2500 1
V1 0.3333 0.6667 0.0592 1
Rh1 0.0000 0.0000 0.0000 1
Rh2 0.3333 0.6667 0.2500 1
Rh3 0.3333 0.6667 0.6355 1
# Formation energy in kJ/mol of formula units: -252
# Total energy in eV per atom: -8.308
# N(E_F) in states/eV/atom: 1.103

***

Record 16
# BaAs3 | Alexandria via LeMat-Bulk | GGA-PBE | relaxed
data_BaAs3
_chemical_formula_sum 'Ba4 As12'
_space_group_name_H-M_alt 'C 1 2/m 1'
_space_group_IT_number 12
_space_group_name_Hall '-C 2y'
_cell_length_a 10.3102
_cell_length_b 7.8782
_cell_length_c 6.1387
_cell_angle_alpha 90.00
_cell_angle_beta 113.45
_cell_angle_gamma 90.00
loop_
_atom_site_label
_atom_site_fract_x
_atom_site_fract_y
_atom_site_fract_z
_atom_site_occupancy
Ba1 0.1649 0.0000 0.3360 1
As1 0.0040 0.5000 0.7964 1
As2 0.1389 0.2341 0.8171 1
# Formation energy in kJ/mol of formula units: -244
# Total energy in eV per atom: -4.600
# N(E_F) in states/eV/atom: 0.066

***

Record 17
# ScBeHg2 | Alexandria via LeMat-Bulk | GGA-PBE | relaxed
data_ScBeHg2
_chemical_formula_sum 'Sc4 Be4 Hg8'
_space_group_name_H-M_alt 'I -4 2 d'
_space_group_IT_number 122
_space_group_name_Hall 'I -4 2bw'
_cell_length_a 4.3542
_cell_length_b 4.3542
_cell_length_c 18.1478
_cell_angle_alpha 90.00
_cell_angle_beta 90.00
_cell_angle_gamma 90.00
loop_
_atom_site_label
_atom_site_fract_x
_atom_site_fract_y
_atom_site_fract_z
_atom_site_occupancy
Sc1 0.0000 0.0000 0.0000 1
Be1 0.0000 0.0000 0.5000 1
Hg1 0.2107 0.2500 0.6250 1
# Formation energy in kJ/mol of formula units: 96
# Total energy in eV per atom: -2.417
# N(E_F) in states/eV/atom: 0.720

***

Record 18
# ReSeI2 | Alexandria via LeMat-Bulk | GGA-PBE | relaxed
data_ReSeI2
_chemical_formula_sum 'Re4 Se4 I8'
_space_group_name_H-M_alt 'I -4 2 d'
_space_group_IT_number 122
_space_group_name_Hall 'I -4 2bw'
_cell_length_a 7.3245
_cell_length_b 7.3245
_cell_length_c 9.1781
_cell_angle_alpha 90.00
_cell_angle_beta 90.00
_cell_angle_gamma 90.00
loop_
_atom_site_label
_atom_site_fract_x
_atom_site_fract_y
_atom_site_fract_z
_atom_site_occupancy
Re1 0.0000 0.0000 0.0000 1
Se1 0.0000 0.0000 0.5000 1
I1 0.1913 0.2500 0.1250 1
# Total energy in eV per atom: -3.701
# ΔE_f (raw) in eV/atom: 1.06
# N(E_F) in states/eV/atom: 1.925

***

Record 19
# CsLiHoSe2 | Alexandria via LeMat-Bulk | GGA-PBE | relaxed
data_CsLiHoSe2
_chemical_formula_sum 'Cs4 Li4 Ho4 Se8'
_space_group_name_H-M_alt 'C m m e'
_space_group_IT_number 67
_space_group_name_Hall '-C 2a 2'
_cell_length_a 7.2565
_cell_length_b 15.3937
_cell_length_c 6.4100
_cell_angle_alpha 90.00
_cell_angle_beta 90.00
_cell_angle_gamma 90.00
loop_
_atom_site_label
_atom_site_fract_x
_atom_site_fract_y
_atom_site_fract_z
_atom_site_occupancy
Cs1 0.0000 0.2500 0.2246 1
Li1 0.0000 0.0000 0.0000 1
Ho1 0.2500 0.0000 0.5000 1
Se1 0.0000 0.1045 0.7105 1
# Total energy in eV per atom: -4.057
# ΔE_f (raw) in eV/atom: -1.19
# N(E_F) in states/eV/atom: 0.596

***

Record 20
# YRuN2F | Alexandria via LeMat-Bulk | GGA-PBE | relaxed
data_YRuN2F
_chemical_formula_sum 'Y1 Ru1 N2 F1'
_space_group_name_H-M_alt 'P 4/m m m'
_space_group_IT_number 123
_space_group_name_Hall '-P 4 2'
_cell_length_a 3.9225
_cell_length_b 3.9225
_cell_length_c 4.1220
_cell_angle_alpha 90.00
_cell_angle_beta 90.00
_cell_angle_gamma 90.00
loop_
_atom_site_label
_atom_site_fract_x
_atom_site_fract_y
_atom_site_fract_z
_atom_site_occupancy
Y1 0.0000 0.0000 0.0000 1
Ru1 0.5000 0.5000 0.5000 1
N1 0.0000 0.5000 0.5000 1
F1 0.5000 0.5000 0.0000 1
# Total energy in eV per atom: -7.429
# ΔE_f (raw) in eV/atom: -0.58
# N(E_F) in states/eV/atom: 0.613